No. 1
First-principles (PBE) data for an optimized crystal structure of K3Te, as listed in the Alexandria database.

It has space group Pm-3m (No. 221), with a = 5.513 Å, b = 5.513 Å, c = 5.513 Å, α = 90.00°, β = 90.00° and γ = 90.00°. The distinct sites, in fractional coordinates, are K at (0.000, 0.000, 0.500) and Te at (0.500, 0.500, 0.500).

As for the uncorrected formation energy: -57.77 kJ per mole of atoms. The density of states at the Fermi level comes out at 1.23 states/eV per cell. For the energy above the most stable polymorph in this dataset, the calculation gives 45 meV per atom. The spin magnetization comes out at 0.80 μB/cell. The density comes out at 2.43 Mg/m³.

No. 2
First-principles (PBE) data for an optimized crystal structure of CaDy2Er, as listed in the Alexandria database.

It has space group P4/mmm (No. 123), with a = 5.092 Å, b = 5.092 Å, c = 5.060 Å, α = 90.00°, β = 90.00° and γ = 90.00°. The distinct sites, in fractional coordinates, are Ca at (0.000, 0.000, 0.000), Dy at (0.000, 0.500, 0.500) and Er at (0.500, 0.500, 0.000).

The density of states at the Fermi level comes out at 6.84 states/eV per cell. For the energy above the most stable polymorph in this dataset, the calculation gives 77 meV per atom. As for the formation energy from the elements: 140 meV/atom. The spin magnetization comes out at 0.00 μB/cell. The density comes out at 6.74 Mg/m³.

No. 3
First-principles (PBE) data for an optimized crystal structure of RbAcMnSe3, as listed in the Alexandria database.

It has space group P2_1/m (No. 11), with a = 9.734 Å, b = 4.505 Å, c = 10.190 Å, α = 90.00°, β = 103.96° and γ = 90.00°. The distinct sites, in fractional coordinates, are Rb at (0.187, 0.250, 0.220), Ac at (0.338, 0.750, 0.845), Mn at (0.083, 0.250, 0.602), Se at (0.115, 0.250, 0.850), Se at (0.181, 0.750, 0.524) and Se at (0.445, 0.750, 0.156).

As for the uncorrected formation energy: -127.70 kJ per mole of atoms. The spin magnetization comes out at 10.00 μB/cell. The density comes out at 4.63 Mg/m³.

No. 4
First-principles (PBE) data for an optimized crystal structure of TbSm4Y2Tm2, as listed in the Alexandria database.

It has space group C2/m (No. 12), with a = 15.185 Å, b = 5.050 Å, c = 8.003 Å, α = 90.00°, β = 108.38° and γ = 90.00°. The distinct sites, in fractional coordinates, are Tb at (0.000, 0.000, 0.000), Sm at (0.055, 0.500, 0.330), Sm at (0.222, 0.000, 0.331), Y at (0.112, 0.000, 0.669) and Tm at (0.167, 0.500, 0.000).

The density of states at the Fermi level comes out at 25.59 states/eV per cell. As for the formation energy from the elements: 21 meV/atom. The spin magnetization comes out at 0.00 μB/cell. The density comes out at 7.28 Mg/m³.

No. 5
First-principles (PBE) data for an optimized crystal structure of Zn2HWSe, as listed in the Alexandria database.

It has space group P4/mmm (No. 123), with a = 5.120 Å, b = 5.120 Å, c = 3.382 Å, α = 90.00°, β = 90.00° and γ = 90.00°. The distinct sites, in fractional coordinates, are Zn at (0.000, 0.500, 0.000), H at (0.000, 0.000, 0.500), W at (0.000, 0.000, 0.000) and Se at (0.500, 0.500, 0.500).

For the uncorrected energy, the calculation gives -3.52 eV/atom. The density of states at the Fermi level comes out at 4.50 states/eV per cell. The spin magnetization comes out at 1.12 μB/cell. The density comes out at 7.39 Mg/m³.

No. 6
First-principles (PBE) data for an optimized crystal structure of Rb3BTe3, as listed in the Alexandria database.

It has space group Pnma (No. 62), with a = 15.338 Å, b = 4.597 Å, c = 15.660 Å, α = 90.00°, β = 90.00° and γ = 90.00°. The distinct sites, in fractional coordinates, are Rb at (0.100, 0.250, 0.099), Rb at (0.111, 0.750, 0.482), Rb at (0.240, 0.750, 0.803), B at (0.076, 0.250, 0.719), Te at (0.013, 0.250, 0.321), Te at (0.080, 0.250, 0.862) and Te at (0.196, 0.250, 0.637).

As for the uncorrected formation energy: -41.56 kJ per mole of atoms. The density of states at the Fermi level comes out at 0.87 states/eV per cell. The spin magnetization comes out at 0.00 μB/cell. The density comes out at 3.91 Mg/m³.

No. 7
First-principles (PBE) data for an optimized crystal structure of DyPuMgTc, as listed in the Alexandria database.

It has space group F-43m (No. 216), with a = 7.072 Å, b = 7.072 Å, c = 7.072 Å, α = 90.00°, β = 90.00° and γ = 90.00°. The distinct sites, in fractional coordinates, are Dy at (0.000, 0.000, 0.000), Pu at (0.000, 0.000, 0.500), Mg at (0.250, 0.250, 0.250) and Tc at (0.250, 0.250, 0.750).

The density of states at the Fermi level comes out at 36.82 states/eV per cell. As for the formation energy from the elements: 132 meV/atom. The spin magnetization comes out at 21.41 μB/cell. The density comes out at 9.93 Mg/m³.

No. 8
First-principles (PBE) data for an optimized crystal structure of AsRuRh2, as listed in the Alexandria database.

It has space group R3m (No. 160, hexagonal axes), with a = 2.8557 Å, b = 2.8557 Å, c = 24.7487 Å, α = 90.00°, β = 90.00° and γ = 120.00°. The distinct sites, in fractional coordinates, are As at (0.0000, 0.0000, 0.0000), Ru at (0.0000, 0.0000, 0.2552), Rh at (0.0000, 0.0000, 0.5024) and Rh at (0.0000, 0.0000, 0.7450).

The density of states at the Fermi level comes out at 14.62 states/eV per cell. As for the formation energy from the elements: 65 meV/atom. The spin magnetization comes out at 0.00 μB/cell. The density comes out at 10.88 Mg/m³.

No. 9
First-principles (PBE) data for an optimized crystal structure of Nd2MgS4, as listed in the Alexandria database.

It has space group Pnma (No. 62), with a = 8.231 Å, b = 7.183 Å, c = 11.795 Å, α = 90.00°, β = 90.00° and γ = 90.00°. The distinct sites, in fractional coordinates, are Nd at (0.033, 0.250, 0.186), Nd at (0.088, 0.750, 0.465), Mg at (0.193, 0.750, 0.083), S at (0.087, 0.250, 0.945), S at (0.143, 0.506, 0.654) and S at (0.207, 0.250, 0.391).

As for the uncorrected formation energy: -162.24 kJ per mole of atoms. The density of states at the Fermi level comes out at 0.00 states/eV per cell. For the energy above the most stable polymorph in this dataset, the calculation gives 154 meV per atom. The spin magnetization comes out at 0.00 μB/cell. The density comes out at 4.20 Mg/m³.

No. 10
First-principles (PBE) data for an optimized crystal structure of AsPS2N, as listed in the Alexandria database.

It has space group P4/mmm (No. 123), with a = 4.825 Å, b = 4.825 Å, c = 3.559 Å, α = 90.00°, β = 90.00° and γ = 90.00°. The distinct sites, in fractional coordinates, are As at (0.000, 0.000, 0.000), P at (0.500, 0.500, 0.500), S at (0.000, 0.500, 0.000) and N at (0.000, 0.000, 0.500).

As for the uncorrected formation energy: 113.21 kJ per mole of atoms. The density of states at the Fermi level comes out at 3.15 states/eV per cell. For the energy above the most stable polymorph in this dataset, the calculation gives 553 meV per atom. The spin magnetization comes out at 0.00 μB/cell. The density comes out at 3.69 Mg/m³.

No. 11
First-principles (PBE) data for an optimized crystal structure of PuHfMnNi, as listed in the Alexandria database.

It has space group F-43m (No. 216), with a = 6.513 Å, b = 6.513 Å, c = 6.513 Å, α = 90.00°, β = 90.00° and γ = 90.00°. The distinct sites, in fractional coordinates, are Pu at (0.000, 0.000, 0.000), Hf at (0.000, 0.000, 0.500), Mn at (0.250, 0.250, 0.750) and Ni at (0.250, 0.250, 0.250).

The density of states at the Fermi level comes out at 30.49 states/eV per cell. As for the formation energy from the elements: -40 meV/atom. The spin magnetization comes out at 13.07 μB/cell. The density comes out at 12.89 Mg/m³.

No. 12
First-principles (PBE) data for an optimized crystal structure of HfCd2SbAu, as listed in the Alexandria database.

It has space group P4/mmm (No. 123), with a = 5.111 Å, b = 5.111 Å, c = 5.340 Å, α = 90.00°, β = 90.00° and γ = 90.00°. The distinct sites, in fractional coordinates, are Hf at (0.000, 0.000, 0.000), Cd at (0.000, 0.500, 0.500), Sb at (0.500, 0.500, 0.000) and Au at (0.000, 0.000, 0.500).

As for the uncorrected formation energy: 32.91 kJ per mole of atoms. The density of states at the Fermi level comes out at 2.96 states/eV per cell. The spin magnetization comes out at 0.00 μB/cell. The density comes out at 8.59 Mg/m³.

> Which formula does entry 8 have?

AsRuRh2

Please write out number 2 again, unchanged.
First-principles (PBE) data for an optimized crystal structure of CaDy2Er, as listed in the Alexandria database.

It has space group P4/mmm (No. 123), with a = 5.092 Å, b = 5.092 Å, c = 5.060 Å, α = 90.00°, β = 90.00° and γ = 90.00°. The distinct sites, in fractional coordinates, are Ca at (0.000, 0.000, 0.000), Dy at (0.000, 0.500, 0.500) and Er at (0.500, 0.500, 0.000).

The density of states at the Fermi level comes out at 6.84 states/eV per cell. For the energy above the most stable polymorph in this dataset, the calculation gives 77 meV per atom. As for the formation energy from the elements: 140 meV/atom. The spin magnetization comes out at 0.00 μB/cell. The density comes out at 6.74 Mg/m³.

> The highest spin magnetization belongs to which entry?

DyPuMgTc